Entry from the Alexandria database: CaCo2Au2 at its PBEsol-relaxed geometry (meta-GGA SCAN).

total magnetization: 3.9 μB per formula unit
DOS at the Fermi energy: 0.47 states/eV per atom
DFT formation energy: -0.45 eV/f.u.

Cell: 5.7715 5.7715 5.7715 Å, 137.20 137.20 62.13°
Closest atoms and distances in Å follow each position.
Fractional coordinates of all 5 atoms:
Ca 0.0000 0.0000 0.0000  8 Co 3.15, 8 Au 3.25
Co 0.3950 0.3950 0.0000  1 Co 2.08
Co 0.6050 0.6050 0.0000  1 Co 2.08
Au 0.2500 0.7500 0.5000  4 Co 2.55
Au 0.7500 0.2500 0.5000  4 Co 2.55

Entry from the Alexandria database: SrMgTa2 at its PBEsol-relaxed geometry (meta-GGA SCAN).

total magnetization: 0.0 μB per formula unit
DOS at the Fermi energy: 0.92 states/eV per atom
DFT formation energy: 3.33 eV/f.u.

Cell: 2.9581 5.3336 5.7038 Å, 90.00 100.95 90.00°
Closest atoms and distances in Å follow each position.
Fractional coordinates of all 4 atoms:
Sr 0.0000 0.0000 0.0000  2 Mg 2.95, 2 Sr 2.96
Mg 0.5000 0.0000 0.5000  2 Sr 2.95, 2 Mg 2.96, 4 Ta 3.02
Ta 0.3248 0.5000 0.7135  4 Ta 2.80-2.96, 2 Mg 3.02
Ta 0.6752 0.5000 0.2865  4 Ta 2.80-2.96, 2 Mg 3.02

Entry from the Alexandria database: Rb6UMo4O18 at its PBEsol-relaxed geometry (meta-GGA SCAN).

total magnetization: 0.0 μB per formula unit
E_form (uncorrected): -2.43 eV per atom
DOS at the Fermi energy: 0.00 states/eV per atom

Cell: 10.3413 10.3413 13.9527 Å, 120.70 120.70 67.28°
Closest atoms and distances in Å follow each position.
Fractional coordinates of all 58 atoms:
Rb 0.0079 0.9921 0.7500  8 O 2.82-3.09
Rb 0.0755 0.3465 0.1662  5 O 2.77-3.03
Rb 0.1850 0.5339 0.6641  7 O 2.88-3.16
Rb 0.3196 0.6804 0.2500  8 O 2.91-3.16
Rb 0.3465 0.0755 0.6662  5 O 2.77-3.03
Rb 0.4661 0.8150 0.8359  7 O 2.88-3.16
Rb 0.5339 0.1850 0.1641  7 O 2.88-3.16
Rb 0.6535 0.9245 0.3338  5 O 2.77-3.03
Rb 0.6804 0.3196 0.7500  8 O 2.91-3.16
Rb 0.8150 0.4661 0.3359  7 O 2.88-3.16
Rb 0.9245 0.6535 0.8338  5 O 2.77-3.03
Rb 0.9921 0.0079 0.2500  8 O 2.82-3.09
U 0.5000 0.5000 0.0000  2 O 1.85
U 0.5000 0.5000 0.5000  2 O 1.85
Mo 0.1227 0.7486 0.4548  4 O 1.74-1.85
Mo 0.2019 0.3217 0.9276  4 O 1.74-1.85
Mo 0.2514 0.8773 0.0452  4 O 1.74-1.85
Mo 0.3217 0.2019 0.4276  4 O 1.74-1.85
Mo 0.6783 0.7981 0.5724  4 O 1.74-1.85
Mo 0.7486 0.1227 0.9548  4 O 1.74-1.85
Mo 0.7981 0.6783 0.0724  4 O 1.74-1.85
Mo 0.8773 0.2514 0.5452  4 O 1.74-1.85
O 0.0057 0.3269 0.8484  1 Mo 1.74
O 0.0614 0.2946 0.6250  1 Mo 1.75
O 0.1004 0.8660 0.0616  1 Mo 1.74
O 0.1336 0.2960 0.3741  1 Mo 1.76
O 0.1340 0.8996 0.4384  1 Mo 1.74
O 0.1831 0.7958 0.6093  1 Mo 1.75
O 0.2042 0.8169 0.8907  1 Mo 1.75
O 0.2474 0.3765 0.0804  1 Mo 1.74
O 0.2578 0.5795 0.3998  1 Mo 1.85
O 0.2629 0.4539 0.9121  1 Mo 1.85
O 0.2946 0.0614 0.1250  1 Mo 1.75
O 0.2960 0.1336 0.8741  1 Mo 1.76
O 0.3269 0.0057 0.3484  1 Mo 1.74
O 0.3765 0.2474 0.5804  1 Mo 1.74
O 0.4205 0.7422 0.1002  1 Mo 1.85
O 0.4539 0.2629 0.4121  1 Mo 1.85
O 0.4558 0.5342 0.6245  1 U 1.85
O 0.4658 0.5442 0.8755  1 U 1.85
O 0.5342 0.4558 0.1245  1 U 1.85
O 0.5442 0.4658 0.3755  1 U 1.85
O 0.5461 0.7371 0.5879  1 Mo 1.85
O 0.5795 0.2578 0.8998  1 Mo 1.85
O 0.6235 0.7526 0.4196  1 Mo 1.74
O 0.6731 0.9943 0.6516  1 Mo 1.74
O 0.7040 0.8664 0.1259  1 Mo 1.76
O 0.7054 0.9386 0.8750  1 Mo 1.75
O 0.7371 0.5461 0.0879  1 Mo 1.85
O 0.7422 0.4205 0.6002  1 Mo 1.85
O 0.7526 0.6235 0.9196  1 Mo 1.74
O 0.7958 0.1831 0.1093  1 Mo 1.75
O 0.8169 0.2042 0.3907  1 Mo 1.75
O 0.8660 0.1004 0.5616  1 Mo 1.74
O 0.8664 0.7040 0.6259  1 Mo 1.76
O 0.8996 0.1340 0.9384  1 Mo 1.74
O 0.9386 0.7054 0.3750  1 Mo 1.75
O 0.9943 0.6731 0.1516  1 Mo 1.74

Entry from the Alexandria database: InRe2Hg at its PBEsol-relaxed geometry (meta-GGA SCAN).

total magnetization: 0.0 μB per formula unit
DOS at the Fermi energy: 0.72 states/eV per atom
DFT formation energy: 3.52 eV/f.u.

Cell: 5.6134 5.6134 5.6134 Å, 150.12 128.47 60.71°
Closest atoms and distances in Å follow each position.
Fractional coordinates of all 4 atoms:
In 0.0000 0.0000 0.0000  4 Re 2.81, 4 Hg 2.84, 2 In 2.89
Re 0.2486 0.7486 0.5000  2 In 2.81, 2 Hg 2.83, 6 Re 2.84-2.89
Re 0.7514 0.2514 0.5000  2 In 2.81, 2 Hg 2.83, 6 Re 2.84-2.89
Hg 0.5000 0.5000 0.0000  4 Re 2.83, 4 In 2.84, 2 Hg 2.89

Entry from the Alexandria database: TlGePO2 at its PBEsol-relaxed geometry (meta-GGA SCAN).

total magnetization: 0.0 μB per formula unit
E_form (uncorrected): -0.47 eV per atom
DOS at the Fermi energy: 0.36 states/eV per atom

Cell: 3.7570 3.7570 5.0526 Å, 90.00 90.00 90.00°
Closest atoms and distances in Å follow each position.
Fractional coordinates of all 5 atoms:
Tl 0.0000 0.0000 0.0000  4 P 2.66
Ge 0.5000 0.5000 0.5000  4 O 1.88
P 0.5000 0.5000 0.0000  2 Ge 2.53, 4 Tl 2.66
O 0.0000 0.5000 0.5000  2 Ge 1.88
O 0.5000 0.0000 0.5000  2 Ge 1.88

Entry from the Alexandria database: ZrMnN2O at its PBEsol-relaxed geometry (meta-GGA SCAN).

total magnetization: 3.0 μB per formula unit
E_form (uncorrected): -1.14 eV per atom
DOS at the Fermi energy: 0.13 states/eV per atom

Cell: 3.6974 3.6974 3.5815 Å, 90.00 90.00 90.00°
Closest atoms and distances in Å follow each position.
Fractional coordinates of all 5 atoms:
Zr 0.0000 0.0000 0.0000  8 N 2.57, 4 O 2.61
Mn 0.5000 0.5000 0.5000  2 O 1.79, 4 N 1.85
N 0.0000 0.5000 0.5000  2 Mn 1.85
N 0.5000 0.0000 0.5000  2 Mn 1.85
O 0.5000 0.5000 0.0000  2 Mn 1.79